1.
DFT (GGA-PBE) results for TlCdSe2 after structural relaxation.

Structure (extended XYZ):
```
4
Lattice="-2.2477 4.6615 0.0931 -3.8177 0.9657 3.3590 0.8140 3.1863 3.9969" Properties=species:S:1:pos:R:3 pbc="T T T"
Cd -2.6257 4.4067 3.7245
Se 0.0000 0.0000 0.0000
Se -1.3128 2.2033 1.8623
Tl -3.9385 6.6100 5.5868
```

Output
Density in kg/m³: 8040
SG: F-43m, No. 216
Crystal system: cubic
VASP energy in Ry per atom: -0.1778
Uncorrected formation energy in meV/atom: 143.6

2.
DFT (GGA-PBE) results for U2Tl2CdSe6 after structural relaxation.

Structure (extended XYZ):
```
11
Lattice="7.1525 -0.0746 0.0842 -3.6000 6.1809 0.0842 -1.2387 -2.1292 7.8445" Properties=species:S:1:pos:R:3 pbc="T T T"
U -0.6293 3.0277 4.0065
U 2.9431 0.9494 4.0065
Tl 5.3917 0.9498 0.0842
Tl -1.8392 5.1565 0.0842
Cd -0.6194 -1.0646 3.9222
Se 1.7287 2.9714 5.6058
Se -1.8996 1.0440 5.5736
Se 0.5851 1.0057 2.4072
Se 1.8464 -1.1354 5.5736
Se 4.2134 2.9331 2.4394
Se 0.4673 5.1125 2.4394
```

Output
Density in kg/m³: 7034
SG: C2/m, No. 12
Crystal system: monoclinic
VASP energy in Ry per atom: -0.3904
Uncorrected formation energy in meV/atom: -845.7

3.
DFT (GGA-PBE) results for UTl3Cd2Se6 after structural relaxation.

Structure (extended XYZ):
```
12
Lattice="7.0961 -0.0158 0.0109 -3.5600 6.1386 0.0109 -1.1680 -2.0223 7.7887" Properties=species:S:1:pos:R:3 pbc="T T T"
U 0.0000 0.0000 0.0000
Tl -2.3515 4.0921 3.9052
Tl 4.7196 0.0083 3.9052
Tl 1.1841 2.0502 3.9052
Cd -0.0009 4.0831 0.0109
Cd 3.5371 2.0397 0.0109
Se 3.5040 2.1152 6.2116
Se 2.4037 4.1621 1.6582
Se -1.1359 1.9852 1.5989
Se 0.0810 4.0922 6.2116
Se -0.0356 -0.0616 6.1522
Se 2.2872 0.0083 1.5989
```

Output
Density in kg/m³: 7588
SG: C2/m, No. 12
Crystal system: monoclinic
VASP energy in Ry per atom: -0.3005
Uncorrected formation energy in meV/atom: -661.9

4.
DFT (GGA-PBE) results for Y2Tl3CdSe6 after structural relaxation.

Structure (extended XYZ):
```
12
Lattice="-1.0355 4.8982 -5.2656 2.4913 -6.6281 -1.6285 -7.5238 -1.8499 1.4330" Properties=species:S:1:pos:R:3 pbc="T T T"
Y 1.3154 -2.7850 -2.8412
Y 0.1404 1.0551 -4.0529
Tl -1.8652 -5.6097 -1.5253
Tl -4.2028 2.0298 -3.9359
Tl -3.0340 -1.7899 -2.7306
Cd 0.0000 0.0000 0.0000
Se -5.4199 -0.8428 -4.7330
Se -0.5199 -1.6638 -4.7686
Se -0.6481 -2.7371 -0.7281
Se -4.2357 -4.7132 -3.5118
Se -5.5481 -1.9161 -0.6925
Se -1.8323 1.1333 -1.9494
```

Output
Density in kg/m³: 6680
SG: C2/m, No. 12
Crystal system: monoclinic
VASP energy in Ry per atom: -0.3315
Uncorrected formation energy in meV/atom: -1023.4